1.
# TaBe PBE optimized geometry
data_TaBe
_symmetry_space_group_name_H-M 'I m m a'
_symmetry_Int_Tables_number 74
_symmetry_space_group_name_Hall '-I 2b 2'
_cell_length_a 2.883
_cell_length_b 4.329
_cell_length_c 8.723
_cell_angle_alpha 90.00
_cell_angle_beta 90.00
_cell_angle_gamma 90.00
loop_
_atom_site_label
_atom_site_fract_x
_atom_site_fract_y
_atom_site_fract_z
Ta1 0.000 0.250 0.110
Be1 0.000 0.250 0.655
# ΔH_f (0 K)   31.9 meV per atom
# Size of the total moment   0.000 μB per cell
# D(E_F)   0.81 states/eV/f.u.
# Electronic total energy   -7.7575 eV per atom

2.
# TaBe5 PBE optimized geometry
data_TaBe5
_symmetry_space_group_name_H-M 'C 1 2/m 1'
_symmetry_Int_Tables_number 12
_cell_length_a 9.515
_cell_length_b 2.482
_cell_length_c 5.409
_cell_angle_alpha 90.00
_cell_angle_beta 106.17
_cell_angle_gamma 90.00
loop_
_symmetry_equiv_pos_as_xyz
'x,y,z'
'-x,-y,-z'
'-x,y,-z'
'x,-y,z'
'x+1/2,y+1/2,z'
'-x+1/2,-y+1/2,-z'
'-x+1/2,y+1/2,-z'
'x+1/2,-y+1/2,z'
loop_
_atom_site_label
_atom_site_fract_x
_atom_site_fract_y
_atom_site_fract_z
Ta1 0.000 0.000 0.000
Be1 0.000 0.000 0.500
Be2 0.170 0.500 0.380
Be3 0.198 0.500 0.818
# ΔH_f (0 K)   136.6 meV per atom
# Size of the total moment   0.000 μB per cell
# D(E_F)   1.83 states/eV/f.u.
# Electronic total energy   -4.9440 eV per atom

3.
# TaBe PBE optimized geometry
data_TaBe
_symmetry_space_group_name_H-M 'I -4 3 m'
_symmetry_Int_Tables_number 217
_symmetry_space_group_name_Hall 'I -4 2 3'
_cell_length_a 7.692
_cell_length_b 7.692
_cell_length_c 7.692
_cell_angle_alpha 90.00
_cell_angle_beta 90.00
_cell_angle_gamma 90.00
loop_
_atom_site_label
_atom_site_fract_x
_atom_site_fract_y
_atom_site_fract_z
Ta1 0.124 0.124 0.876
Be1 0.185 0.185 0.185
# ΔH_f (0 K)   1814.0 meV per atom
# Size of the total moment   0.001 μB per cell
# D(E_F)   1.99 states/eV/f.u.
# Electronic total energy   -5.9754 eV per atom

4.
# Ta2Be PBE optimized geometry
data_Ta2Be
_symmetry_space_group_name_H-M 'P 63/m m c'
_symmetry_Int_Tables_number 194
_symmetry_space_group_name_Hall '-P 6c 2c'
_cell_length_a 5.4188
_cell_length_b 5.4188
_cell_length_c 8.6351
_cell_angle_alpha 90.00
_cell_angle_beta 90.00
_cell_angle_gamma 120.00
loop_
_atom_site_label
_atom_site_fract_x
_atom_site_fract_y
_atom_site_fract_z
Ta1 0.0000 0.0000 0.0000
Ta2 0.1686 0.3372 0.2500
Be1 0.3333 0.6667 0.6101
# ΔH_f (0 K)   937.0 meV per atom
# Size of the total moment   0.000 μB per cell
# D(E_F)   2.19 states/eV/f.u.
# Electronic total energy   -8.2068 eV per atom

5.
# Ta3Be PBE optimized geometry
data_Ta3Be
_symmetry_space_group_name_H-M 'C 1 2/m 1'
_symmetry_Int_Tables_number 12
_cell_length_a 9.367
_cell_length_b 2.942
_cell_length_c 4.918
_cell_angle_alpha 90.00
_cell_angle_beta 103.27
_cell_angle_gamma 90.00
loop_
_symmetry_equiv_pos_as_xyz
'x,y,z'
'-x,-y,-z'
'-x,y,-z'
'x,-y,z'
'x+1/2,y+1/2,z'
'-x+1/2,-y+1/2,-z'
'-x+1/2,y+1/2,-z'
'x+1/2,-y+1/2,z'
loop_
_atom_site_label
_atom_site_fract_x
_atom_site_fract_y
_atom_site_fract_z
Ta1 0.000 0.000 0.000
Ta2 0.230 0.000 0.728
Be1 0.000 0.500 0.500
# ΔH_f (0 K)   176.2 meV per atom
# Size of the total moment   0.000 μB per cell
# D(E_F)   2.67 states/eV/f.u.
# Electronic total energy   -9.6448 eV per atom

6.
# Ta3Be PBE optimized geometry
data_Ta3Be
_symmetry_space_group_name_H-M 'P m m n'
_symmetry_Int_Tables_number 59
_cell_length_a 4.547
_cell_length_b 5.431
_cell_length_c 5.304
_cell_angle_alpha 90.00
_cell_angle_beta 90.00
_cell_angle_gamma 90.00
loop_
_symmetry_equiv_pos_as_xyz
'x,y,z'
'-x,-y,-z'
'-x+1/2,-y+1/2,z'
'x+1/2,y+1/2,-z'
'x+1/2,-y,-z'
'-x+1/2,y,z'
'-x,y+1/2,-z'
'x,-y+1/2,z'
loop_
_atom_site_label
_atom_site_fract_x
_atom_site_fract_y
_atom_site_fract_z
Ta1 0.250 0.005 0.152
Ta2 0.250 0.750 0.613
Be1 0.250 0.250 0.671
# ΔH_f (0 K)   159.2 meV per atom
# Size of the total moment   0.000 μB per cell
# D(E_F)   3.13 states/eV/f.u.
# Electronic total energy   -9.6618 eV per atom